1.
BeCo: optimized geometry, GGA-PBE.

Geometry as POSCAR:
```
BeCo
1.0
4.1409 0.0000 0.0000
0.0000 4.2771 0.0000
0.0000 0.0000 8.0800
Be Co
8 8
Direct
0.3082 0.8782 0.0622
0.8082 0.6218 0.9378
0.6918 0.3782 0.4378
0.1918 0.1218 0.5622
0.1342 0.3835 0.7789
0.6342 0.1165 0.2211
0.8658 0.8835 0.7211
0.3658 0.6165 0.2789
0.8484 0.1163 0.9757
0.3484 0.3837 0.0243
0.1516 0.6163 0.5243
0.6516 0.8837 0.4757
0.3673 0.8804 0.7984
0.8673 0.6196 0.2016
0.6327 0.3804 0.7016
0.1327 0.1196 0.2984
```

ΔE_f: -0.1817 eV/atom
symmetry: P2_12_12_1, No. 19
magnetic moment: 5.791 Bohr magnetons per cell
mass density: 6.31 g/cm³

=====

2.
Be5Co: optimized geometry, GGA-PBE.

Geometry as POSCAR:
```
Be5Co
1.0
4.0901 0.0000 0.0000
2.0451 3.5422 0.0000
2.0451 1.1807 3.3396
Be Co
5 1
Direct
0.2500 0.2500 0.2500
0.1235 0.6255 0.6255
0.6255 0.1235 0.6255
0.6255 0.6255 0.6255
0.6255 0.6255 0.1235
0.0000 0.0000 0.0000
```

ΔE_f: -0.1985 eV/atom
symmetry: F-43m, No. 216
magnetic moment: 0.001 Bohr magnetons per cell
mass density: 3.57 g/cm³

=====

Which of these has the highest magnetic moment?
BeCo

=====

What is the ΔE_f in the second record?
-0.1985 eV/atom

=====

Look up the mass density of the first one.
6.31 g/cm³

=====

What is the ΔE_f in the first record?
-0.1817 eV/atom